An optimized crystal structure of Cd2SnCl2. Source: Alexandria, functional PBE.

Its calculated total energy is -2.16 eV/atom. The distance to the lowest polymorph of the same formula is 0.08 eV/f.u. Its formation energy from raw total energies is -0.250 eV/atom.

The space group is I4/mmm (No. 139) and the conventional cell measures 4.608, 4.608 and 12.150 Å, with angles of 90.00, 90.00 and 90.00 degrees. The inequivalent atoms are Cd at (0.000, 0.000, 0.113), Sn at (0.000, 0.000, 0.500) and Cl at (0.000, 0.500, 0.250).